! ZrMnC, relaxed, DFT PBE-GGA; values from VASP
&SYSTEM
  ibrav = 0, nat = 12, ntyp = 3
/
ATOMIC_SPECIES
Zr 91.22 Zr.upf
Mn 54.94 Mn.upf
C 12.01 C.upf
ATOMIC_POSITIONS crystal
Zr 0.589 0.842 0.179
Zr 0.901 0.640 0.801
Zr 0.411 0.158 0.821
Zr 0.099 0.360 0.199
Mn 0.786 0.942 0.572
Mn 0.238 0.651 0.475
Mn 0.762 0.349 0.525
Mn 0.214 0.058 0.428
C 0.334 0.855 0.668
C 0.666 0.145 0.332
C 0.675 0.567 0.350
C 0.325 0.433 0.650
CELL_PARAMETERS angstrom
3.424 0.000 0.000
0.000 6.368 0.219
-1.712 -0.434 7.505
! Formation enthalpy at 0 K: -0.21 eV/atom
! Total magnetic moment: 0.001 μB/cell
! Uncorrected energy: -9.19 eV/atom